(1)
The following is a DFT calculation (PBE-GGA) of a geometry-optimized SmGa4Ni structure.

Computed properties:
The calculation puts the total energy at -4.2851 eV/atom.

Structure (POSCAR):
```
SmGa4Ni
1.0
-0.468 4.934 6.342
-2.848 -2.592 -7.068
-3.783 -4.387 3.134
Ga Sm Ni
8 2 2
direct
0.688 0.312 0.448
0.926 0.074 0.750
0.312 0.688 0.552
0.688 0.312 0.052
0.500 0.500 0.500
0.500 0.500 0.000
0.074 0.926 0.250
0.312 0.688 0.948
0.115 0.885 0.750
0.885 0.115 0.250
0.775 0.225 0.750
0.225 0.775 0.250
```

=====

(2)
The following is a DFT calculation (PBE-GGA) of a geometry-optimized Sm2YGa2Ni4 structure.

Computed properties:
The calculation puts the total energy at -5.4505 eV/atom.

Structure (POSCAR):
```
Sm2YGa2Ni4
1.0
-0.854 0.790 -5.215
-2.332 -2.839 -3.880
-6.735 3.794 2.856
Ga Y Ni Sm
2 1 4 2
direct
0.679 0.679 0.784
0.321 0.321 0.216
0.000 0.000 0.000
0.266 0.266 0.916
0.734 0.734 0.084
0.917 0.917 0.364
0.083 0.083 0.636
0.624 0.624 0.379
0.376 0.376 0.621
```

=====

(3)
The following is a DFT calculation (PBE-GGA) of a geometry-optimized GaNiSn2 structure.

Computed properties:
The calculation puts the total energy at -4.2410 eV/atom.

Structure (POSCAR):
```
GaNiSn2
1.0
-0.294 0.832 -3.090
1.591 -8.302 -2.386
-6.814 5.154 2.035
Sn Ga Ni
4 2 2
direct
0.250 0.160 0.330
0.750 0.330 0.160
0.250 0.163 0.710
0.750 0.710 0.163
0.750 0.838 0.701
0.250 0.701 0.838
0.750 0.398 0.700
0.250 0.700 0.398
```

=====

(4)
The following is a DFT calculation (PBE-GGA) of a geometry-optimized Ga5Ni2Sn structure.

Computed properties:
The calculation puts the total energy at -3.8919 eV/atom.

Structure (POSCAR):
```
Ga5Ni2Sn
1.0
-0.403 3.598 -2.141
-6.516 -1.139 -0.689
-5.453 1.478 3.510
Ni Ga Sn
2 5 1
direct
0.500 0.620 0.620
0.000 0.377 0.377
0.000 0.788 0.788
0.000 0.317 0.820
0.000 0.820 0.317
0.500 0.686 0.175
0.500 0.175 0.686
0.500 0.216 0.216
```